Entry from Alexandria: crystalline KLiAsBr2 at its relaxed geometry (PBE).

The formation energy from raw total energies is -0.155 eV/atom. For the size of the total moment, the calculation gives 3.07 μB/f.u. As for the polymorph energy (0 for the lowest one): 456 meV per atom. The calculation puts the total energy at -0.087 Ha/atom.

It has space group P4/mmm (No. 123), with a = 6.1875 Å, b = 6.1875 Å, c = 6.1469 Å, α = 90.00°, β = 90.00° and γ = 90.00°. Symmetry generates all atoms from K at (0.0000, 0.0000, 0.0000), Li at (0.5000, 0.5000, 0.5000), As at (0.0000, 0.0000, 0.5000) and Br at (0.0000, 0.5000, 0.0000).

***

Entry from Alexandria: crystalline KMgAsBr2 at its relaxed geometry (PBE).

The formation energy from raw total energies is -0.792 eV/atom. For the size of the total moment, the calculation gives 2.01 μB/f.u. As for the polymorph energy (0 for the lowest one): 0 meV per atom. As for the density of states at the Fermi level: 0.03 states/eV per cell. The calculation puts the total energy at -0.108 Ha/atom.

It has space group P4/mmm (No. 123), with a = 5.5468 Å, b = 5.5468 Å, c = 5.2748 Å, α = 90.00°, β = 90.00° and γ = 90.00°. Symmetry generates all atoms from K at (0.0000, 0.0000, 0.0000), Mg at (0.5000, 0.5000, 0.5000), As at (0.5000, 0.5000, 0.0000) and Br at (0.0000, 0.5000, 0.5000).

***

Entry from Alexandria: crystalline KMgAsBr2 at its relaxed geometry (PBE).

The formation energy from raw total energies is 0.131 eV/atom. For the size of the total moment, the calculation gives 2.02 μB/f.u. As for the polymorph energy (0 for the lowest one): 923 meV per atom. As for the density of states at the Fermi level: 0.71 states/eV per cell. The calculation puts the total energy at -0.074 Ha/atom.

It has space group P4/mmm (No. 123), with a = 5.9753 Å, b = 5.9753 Å, c = 6.1110 Å, α = 90.00°, β = 90.00° and γ = 90.00°. Symmetry generates all atoms from K at (0.0000, 0.0000, 0.0000), Mg at (0.5000, 0.5000, 0.5000), As at (0.0000, 0.0000, 0.5000) and Br at (0.0000, 0.5000, 0.0000).

***

Entry from Alexandria: crystalline KMnAsBr2 at its relaxed geometry (PBE).

The formation energy from raw total energies is -0.585 eV/atom. For the size of the total moment, the calculation gives 3.00 μB/f.u. As for the density of states at the Fermi level: 0.93 states/eV per cell. The calculation puts the total energy at -0.156 Ha/atom.

It has space group P4/mmm (No. 123), with a = 5.5416 Å, b = 5.5416 Å, c = 4.7405 Å, α = 90.00°, β = 90.00° and γ = 90.00°. Symmetry generates all atoms from K at (0.0000, 0.0000, 0.0000), Mn at (0.5000, 0.5000, 0.5000), As at (0.5000, 0.5000, 0.0000) and Br at (0.0000, 0.5000, 0.5000).

***

Q: Look up the size of the total moment of the second one.
A: 2.01 μB/f.u.